This record from Alexandria describes an optimized crystal structure of MgMnCoO2. The functional is GGA+U.

E_tot ... -3.93 eV/atom

Cell and atoms, written as extended XYZ:
```
5
Lattice="3.8552 0.0000 0.0000 0.0000 3.8552 0.0000 0.0000 0.0000 4.4915" Properties=species:S:1:pos:R:3 pbc="T T T"
Mg 0.0000 0.0000 0.0000
Mn 1.9276 1.9276 2.2458
Co 0.0000 0.0000 2.2458
O 0.0000 1.9276 0.0000
O 1.9276 0.0000 0.0000
```